## MgTlIr2 (GGA-PBE)

Data for an optimized crystal structure of MgTlIr2.

Results
Formation energy = 304 meV/atom
Symmetry = F-43m (216)

Cell lengths 4.594, 4.594, 4.594 Å; angles 60.00, 60.00, 60.00 degrees
Fractional coordinates of all 4 atoms:
1 Mg 0.000 0.000 0.000
2 Tl 0.750 0.750 0.750
3 Ir 0.250 0.250 0.250
4 Ir 0.500 0.500 0.500

***

## MgTlIr2 (GGA-PBE)

Data for an optimized crystal structure of MgTlIr2.

Results
Formation energy = 166 meV/atom
Symmetry = C2/m (12)

Cell lengths 4.814, 4.814, 5.128 Å; angles 99.38, 99.38, 35.82 degrees
Fractional coordinates of all 4 atoms:
1 Mg 0.000 0.000 0.000
2 Tl 0.500 0.500 0.500
3 Ir 0.258 0.258 0.780
4 Ir 0.742 0.742 0.220